{"formula": "Dy2PaCo2", "functional": "PBE", "state": "optimized geometry", "formation_enthalpy_0k_mev_per_atom": -350, "lattice_angstrom": [[-1.7958, 3.0302, 4.8154], [1.7958, -3.0302, 4.8154], [1.7958, 3.0302, -4.8154]], "species": ["Dy", "Dy", "Pa", "Co", "Co"], "fractional_positions": [[0.1931, 0.1931, 0.0000], [0.8069, 0.8069, 0.0000], [0.5000, 0.0000, 0.5000], [0.2155, 0.5000, 0.7155], [0.7845, 0.5000, 0.2845]]}


{"formula": "AcEuRuAu", "functional": "PBE", "state": "optimized geometry", "formation_enthalpy_0k_mev_per_atom": -265, "lattice_angstrom": [[0.0000, 3.7035, 3.7035], [3.7035, 0.0000, 3.7035], [3.7035, 3.7035, 0.0000]], "species": ["Ac", "Eu", "Ru", "Au"], "fractional_positions": [[0.0000, 0.0000, 0.0000], [0.5000, 0.5000, 0.5000], [0.2500, 0.2500, 0.2500], [0.7500, 0.7500, 0.7500]]}


{"formula": "CeTm2Zn2Rh5", "functional": "PBE", "state": "optimized geometry", "formation_enthalpy_0k_mev_per_atom": -735, "lattice_angstrom": [[9.7694, 0.0000, 0.0000], [0.0000, 9.7694, 0.0000], [0.0000, 0.0000, 3.6863]], "species": ["Ce", "Ce", "Tm", "Tm", "Tm", "Tm", "Zn", "Zn", "Zn", "Zn", "Rh", "Rh", "Rh", "Rh", "Rh", "Rh", "Rh", "Rh", "Rh", "Rh"], "fractional_positions": [[0.0000, 0.0000, 0.0000], [0.5000, 0.5000, 0.0000], [0.1687, 0.3313, 0.0000], [0.3313, 0.8313, 0.0000], [0.6687, 0.1687, 0.0000], [0.8313, 0.6687, 0.0000], [0.1254, 0.6254, 0.0000], [0.3746, 0.1254, 0.0000], [0.6254, 0.8746, 0.0000], [0.8746, 0.3746, 0.0000], [0.0000, 0.5000, 0.5000], [0.0731, 0.7957, 0.5000], [0.2043, 0.0731, 0.5000], [0.2957, 0.5731, 0.5000], [0.4269, 0.2957, 0.5000], [0.5000, 0.0000, 0.5000], [0.5731, 0.7043, 0.5000], [0.7043, 0.4269, 0.5000], [0.7957, 0.9269, 0.5000], [0.9269, 0.2043, 0.5000]]}


{"formula": "Pr2Sm2Er", "functional": "PBE", "state": "optimized geometry", "formation_enthalpy_0k_mev_per_atom": 137, "relative_energy_ev_per_fu": 0.00, "lattice_angstrom": [[-1.8185, 2.9125, 16.2588], [1.8185, -2.9125, 16.2588], [1.8185, 2.9125, -16.2588]], "species": ["Pr", "Pr", "Pr", "Pr", "Sm", "Sm", "Sm", "Sm", "Er", "Er"], "fractional_positions": [[0.0440, 0.2940, 0.7500], [0.4401, 0.1901, 0.2500], [0.5599, 0.8099, 0.7500], [0.9560, 0.7060, 0.2500], [0.1327, 0.8827, 0.2500], [0.2295, 0.9795, 0.2500], [0.7705, 0.0205, 0.7500], [0.8673, 0.1173, 0.7500], [0.3264, 0.5764, 0.7500], [0.6736, 0.4236, 0.2500]]}


{"formula": "ZnP2W", "functional": "PBE", "state": "optimized geometry", "formation_enthalpy_0k_mev_per_atom": 16, "lattice_angstrom": [[-1.5781, 1.6770, 5.9724], [1.5781, -1.6770, 5.9724], [1.5781, 1.6770, -5.9724]], "species": ["Zn", "P", "P", "W"], "fractional_positions": [[0.0000, 0.0000, 0.0000], [0.3285, 0.8285, 0.5000], [0.5911, 0.5911, 0.0000], [0.7456, 0.2456, 0.5000]]}


{"formula": "Nd3Ga3Ni2", "functional": "PBE", "state": "optimized geometry", "formation_enthalpy_0k_mev_per_atom": -540, "lattice_angstrom": [[8.0204, 0.0000, 0.0000], [0.0000, 15.0469, 0.0000], [0.0000, 0.0000, 5.6317]], "species": ["Nd", "Nd", "Nd", "Nd", "Nd", "Nd", "Nd", "Nd", "Nd", "Nd", "Nd", "Nd", "Ga", "Ga", "Ga", "Ga", "Ga", "Ga", "Ga", "Ga", "Ga", "Ga", "Ga", "Ga", "Ni", "Ni", "Ni", "Ni", "Ni", "Ni", "Ni", "Ni"], "fractional_positions": [[0.0412, 0.1075, 0.1256], [0.0412, 0.3925, 0.1256], [0.1842, 0.2500, 0.6248], [0.3158, 0.7500, 0.1248], [0.4588, 0.6075, 0.6256], [0.4588, 0.8925, 0.6256], [0.5412, 0.1075, 0.3744], [0.5412, 0.3925, 0.3744], [0.6842, 0.2500, 0.8752], [0.8158, 0.7500, 0.3752], [0.9588, 0.6075, 0.8744], [0.9588, 0.8925, 0.8744], [0.1643, 0.7500, 0.6074], [0.1814, 0.0383, 0.6155], [0.1814, 0.4617, 0.6155], [0.3186, 0.5383, 0.1155], [0.3186, 0.9617, 0.1155], [0.3357, 0.2500, 0.1074], [0.6643, 0.7500, 0.8926], [0.6814, 0.0383, 0.8845], [0.6814, 0.4617, 0.8845], [0.8186, 0.5383, 0.3845], [0.8186, 0.9617, 0.3845], [0.8357, 0.2500, 0.3926], [0.1053, 0.6035, 0.3800], [0.1053, 0.8965, 0.3800], [0.3947, 0.1035, 0.8800], [0.3947, 0.3965, 0.8800], [0.6053, 0.6035, 0.1200], [0.6053, 0.8965, 0.1200], [0.8947, 0.1035, 0.6200], [0.8947, 0.3965, 0.6200]]}


{"formula": "Tm8Te3PS3", "functional": "PBE", "state": "optimized geometry", "formation_energy_uncorrected_mev_per_atom": -1455, "lattice_angstrom": [[3.9777, 2.2965, 6.8223], [-3.9777, 2.2965, 6.8223], [0.0000, -4.5931, 6.8223]], "species": ["Tm", "Tm", "Tm", "Tm", "Tm", "Tm", "Tm", "Tm", "Te", "Te", "Te", "P", "S", "S", "S"], "fractional_positions": [[0.2330, 0.2330, 0.2330], [0.2350, 0.7376, 0.7376], [0.2624, 0.2624, 0.7650], [0.2624, 0.7650, 0.2624], [0.7376, 0.2350, 0.7376], [0.7376, 0.7376, 0.2350], [0.7650, 0.2624, 0.2624], [0.7670, 0.7670, 0.7670], [0.0000, 0.5000, 0.5000], [0.5000, 0.0000, 0.5000], [0.5000, 0.5000, 0.0000], [0.5000, 0.5000, 0.5000], [0.0000, 0.0000, 0.5000], [0.0000, 0.5000, 0.0000], [0.5000, 0.0000, 0.0000]]}


{"formula": "UPtAu", "functional": "PBE", "state": "optimized geometry", "formation_enthalpy_0k_mev_per_atom": -427, "relative_energy_ev_per_fu": 0.05, "lattice_angstrom": [[1.9040, -7.2866, 0.0000], [1.9040, 7.2866, 0.0000], [0.0000, 0.0000, 4.1842]], "species": ["U", "U", "Pt", "Pt", "Au", "Au"], "fractional_positions": [[0.0637, 0.9363, 0.7500], [0.9363, 0.0637, 0.2500], [0.3950, 0.6050, 0.7500], [0.6050, 0.3950, 0.2500], [0.2533, 0.7467, 0.2500], [0.7467, 0.2533, 0.7500]]}


{"formula": "SbMoP2", "functional": "PBE", "state": "optimized geometry", "formation_energy_uncorrected_mev_per_atom": -64, "lattice_angstrom": [[3.1430, 0.0000, 0.0000], [0.0000, 3.1430, 0.0000], [0.0000, 0.0000, 6.9461]], "species": ["Sb", "Mo", "P", "P"], "fractional_positions": [[0.0000, 0.0000, 0.0000], [0.0000, 0.0000, 0.5000], [0.5000, 0.5000, 0.3122], [0.5000, 0.5000, 0.6878]]}


{"formula": "PrEuHo2", "functional": "PBE", "state": "optimized geometry", "formation_enthalpy_0k_mev_per_atom": 144, "relative_energy_ev_per_fu": 0.30, "lattice_angstrom": [[5.9401, 0.0000, 0.0000], [0.0000, 5.9401, 0.0000], [0.0000, 0.0000, 3.8963]], "species": ["Pr", "Eu", "Ho", "Ho"], "fractional_positions": [[0.0000, 0.0000, 0.0000], [0.5000, 0.5000, 0.0000], [0.0000, 0.5000, 0.5000], [0.5000, 0.0000, 0.5000]]}


{"formula": "CuHRh2Au", "functional": "PBE", "state": "optimized geometry", "relative_energy_ev_per_fu": 0.00, "lattice_angstrom": [[3.9346, 0.0000, 0.0000], [0.0000, 3.9346, 0.0000], [0.0000, 0.0000, 3.9530]], "species": ["Cu", "H", "Rh", "Rh", "Au"], "fractional_positions": [[0.0000, 0.0000, 0.0000], [0.0000, 0.0000, 0.5000], [0.0000, 0.5000, 0.5000], [0.5000, 0.0000, 0.5000], [0.5000, 0.5000, 0.0000]]}


{"formula": "Ba2DyP3Pt12", "functional": "PBE", "state": "optimized geometry", "formation_enthalpy_0k_mev_per_atom": -386, "lattice_angstrom": [[4.2183, 2.4354, 6.2727], [-4.2183, 2.4354, 6.2727], [0.0000, -4.8708, 6.2727]], "species": ["Ba", "Ba", "Dy", "P", "P", "P", "Pt", "Pt", "Pt", "Pt", "Pt", "Pt", "Pt", "Pt", "Pt", "Pt", "Pt", "Pt"], "fractional_positions": [[0.1035, 0.1035, 0.1035], [0.8965, 0.8965, 0.8965], [0.5000, 0.5000, 0.5000], [0.0000, 0.5000, 0.5000], [0.5000, 0.0000, 0.5000], [0.5000, 0.5000, 0.0000], [0.1076, 0.6287, 0.6287], [0.1699, 0.1699, 0.5916], [0.1699, 0.5916, 0.1699], [0.3713, 0.3713, 0.8924], [0.3713, 0.8924, 0.3713], [0.4084, 0.8301, 0.8301], [0.5916, 0.1699, 0.1699], [0.6287, 0.1076, 0.6287], [0.6287, 0.6287, 0.1076], [0.8301, 0.4084, 0.8301], [0.8301, 0.8301, 0.4084], [0.8924, 0.3713, 0.3713]]}